# 1
VASP calculation (PBE) on a relaxed Sm2As4PdRh3 crystal.

The structure in POSCAR format:
```
Sm2As4PdRh3
1.0
4.3261 0.0000 0.0000
0.0000 4.3261 0.0000
0.0000 0.0000 9.9214
Sm As Pd Rh
2 4 1 3
direct
0.0000 0.5000 0.2475
0.5000 0.0000 0.7525
0.0000 0.0000 0.0000
0.0000 0.5000 0.6375
0.5000 0.0000 0.3625
0.5000 0.5000 0.0000
0.0000 0.0000 0.5000
0.0000 0.5000 0.8809
0.5000 0.0000 0.1191
0.5000 0.5000 0.5000
```

ΔH_f (0 K)   -0.898 eV per atom
Total magnetization   0.0 Bohr magnetons per cell



# 2
VASP calculation (PBE) on a relaxed SmAs2Pd2Rh crystal.

The structure in POSCAR format:
```
SmAs2Pd2Rh
1.0
-1.9625 1.9625 9.1676
1.9625 -1.9625 9.1676
1.9625 1.9625 -9.1676
Sm As Pd Rh
1 2 2 1
direct
0.0000 0.0000 0.0000
0.1638 0.1638 0.0000
0.8362 0.8362 0.0000
0.2500 0.7500 0.5000
0.7500 0.2500 0.5000
0.5000 0.5000 0.0000
```

ΔH_f (0 K)   -0.052 eV per atom
Total magnetization   0.0 Bohr magnetons per cell



# 3
VASP calculation (PBE) on a relaxed Sn3As2Pd2Rh5 crystal.

The structure in POSCAR format:
```
Sn3As2Pd2Rh5
1.0
-2.0639 2.0639 12.3539
2.0639 -2.0639 12.3539
2.0639 2.0639 -12.3539
Sn As Pd Rh
3 2 2 5
direct
0.0000 0.0000 0.0000
0.1603 0.1603 0.0000
0.8397 0.8397 0.0000
0.3638 0.3638 0.0000
0.6362 0.6362 0.0000
0.2642 0.2642 0.0000
0.7358 0.7358 0.0000
0.0813 0.5813 0.5000
0.4187 0.9187 0.5000
0.5000 0.5000 0.0000
0.5813 0.0813 0.5000
0.9187 0.4187 0.5000
```

ΔH_f (0 K)   -0.297 eV per atom
Total magnetization   0.0 Bohr magnetons per cell



Fermi-level density of states for the records above, in order: 0.62 1.10 0.54 states/eV/atom